# 1
Crystalline RbUHg at its relaxed geometry, computed with PBE.

Geometry as extended XYZ:
```
3
Lattice="2.810 3.579 3.007 -2.503 2.796 3.958 1.097 -1.099 5.229" Properties=species:S:1:pos:R:3 pbc="T T T"
Hg 0.351 1.319 3.048
U 0.000 0.000 0.000
Rb 1.053 3.957 9.145
```

=====

# 2
Crystalline RbHgW at its relaxed geometry, computed with PBE.

Geometry as extended XYZ:
```
3
Lattice="1.255 -5.186 0.415 -3.200 -3.318 2.718 -2.889 -3.670 -2.613" Properties=species:S:1:pos:R:3 pbc="T T T"
Hg 0.000 0.000 0.000
W -3.626 -9.130 0.390
Rb -1.209 -3.043 0.130
```

Calculated values
energy relative to the lowest polymorph listed for this composition: 0.0 meV per atom

=====

# 3
Crystalline RbYHg at its relaxed geometry, computed with PBE.

Geometry as extended XYZ:
```
3
Lattice="0.000 3.884 3.884 3.884 0.000 3.884 3.884 3.884 0.000" Properties=species:S:1:pos:R:3 pbc="T T T"
Rb 1.942 1.942 1.942
Y 5.826 5.826 5.826
Hg 0.000 0.000 0.000
```

Calculated values
energy relative to the lowest polymorph listed for this composition: 0.0 meV per atom

=====

# 4
Crystalline RbYHg at its relaxed geometry, computed with PBE.

Geometry as extended XYZ:
```
3
Lattice="0.000 3.814 3.814 3.814 0.000 3.814 3.814 3.814 0.000" Properties=species:S:1:pos:R:3 pbc="T T T"
Hg 1.907 1.907 1.907
Rb 0.000 0.000 0.000
Y 5.721 5.721 5.721
```

Calculated values
energy relative to the lowest polymorph listed for this composition: 485.7 meV per atom

=====

# 5
Crystalline Re2HgS4 at its relaxed geometry, computed with PBE.

Geometry as extended XYZ:
```
7
Lattice="3.066 -4.835 0.000 3.066 4.835 0.000 -0.003 0.000 3.958" Properties=species:S:1:pos:R:3 pbc="T T T"
S 3.066 2.049 0.000
S 1.701 0.000 1.983
S 4.429 0.000 1.975
Hg 0.000 0.000 0.000
Re 1.532 2.418 1.979
S 3.066 -2.049 0.000
Re 1.532 -2.418 1.979
```

=====

# 6
Crystalline TlReHg3S4 at its relaxed geometry, computed with PBE.

Geometry as extended XYZ:
```
9
Lattice="-4.479 -6.069 -0.299 2.500 -1.502 -6.962 5.538 -4.230 2.901" Properties=species:S:1:pos:R:3 pbc="T T T"
S 1.189 -3.941 -1.456
Hg -0.989 -3.785 -3.631
S 1.541 -7.361 -0.592
Hg 0.530 -5.149 1.301
S 3.858 -5.844 -2.805
Tl 0.000 0.000 0.000
S 0.532 -6.455 -3.868
Re 1.780 -5.900 -2.180
Hg 4.019 -2.866 -2.030
```

=====

# 7
Crystalline ReSiHg2 at its relaxed geometry, computed with PBE.

Geometry as extended XYZ:
```
4
Lattice="0.000 3.304 3.304 3.304 0.000 3.304 3.304 3.304 0.000" Properties=species:S:1:pos:R:3 pbc="T T T"
Hg 4.956 4.956 4.956
Si 3.304 3.304 3.304
Hg 0.000 0.000 0.000
Re 1.652 1.652 1.652
```

=====

# 8
Crystalline SmReHg at its relaxed geometry, computed with PBE.

Geometry as extended XYZ:
```
3
Lattice="-3.767 1.892 2.452 -4.042 1.326 -2.384 -4.104 -2.579 0.536" Properties=species:S:1:pos:R:3 pbc="T T T"
Hg -2.978 0.160 0.151
Re -8.934 0.479 0.453
Sm 0.000 0.000 0.000
```

Calculated values
formation energy: 1.273 eV/atom

=====

Respective energy values: -8.4 -8.6 -6.6 -5.2 -38.3 -32.2 -14.4 -13.6 eV per cell.